# 1
Compound: MgBe2Hg
Source: Alexandria via LeMat-Bulk
Functional: PBE-GGA
Structure: optimized geometry

Calculated values
As for the space group: F-43m. The value obtained for the total energy is -1.903 eV per atom. Its distance to the lowest polymorph of the same formula is 0.176 eV per atom. The calculation puts the formation energy at 0.434 eV per atom.

Cell and atoms, written as CIF:
```
data_MgBe2Hg
_chemical_formula_sum 'Mg1 Be2 Hg1'
_symmetry_space_group_name_H-M 'P 1'
_symmetry_Int_Tables_number 1
_cell_length_a 4.3766
_cell_length_b 4.3766
_cell_length_c 4.3766
_cell_angle_alpha 60.00
_cell_angle_beta 60.00
_cell_angle_gamma 60.00
loop_
_symmetry_equiv_pos_as_xyz
'x,y,z'
loop_
_atom_site_label
_atom_site_type_symbol
_atom_site_fract_x
_atom_site_fract_y
_atom_site_fract_z
Be1 Be 0.0000 0.0000 0.0000
Be2 Be 0.7500 0.7500 0.7500
Mg1 Mg 0.2500 0.2500 0.2500
Hg1 Hg 0.5000 0.5000 0.5000
```

=====

# 2
Compound: MgInPtW2
Source: Alexandria via LeMat-Bulk
Functional: PBE-GGA
Structure: optimized geometry

Calculated values
As for the space group: P4/mmm. The value obtained for the total energy is -4.950 eV per atom. The calculation puts the formation energy at 2.306 eV per atom.

Cell and atoms, written as CIF:
```
data_MgInPtW2
_chemical_formula_sum 'Mg1 In1 Pt1 W2'
_symmetry_space_group_name_H-M 'P 1'
_symmetry_Int_Tables_number 1
_cell_length_a 4.9444
_cell_length_b 4.7400
_cell_length_c 4.9444
_cell_angle_alpha 90.00
_cell_angle_beta 90.00
_cell_angle_gamma 90.00
loop_
_symmetry_equiv_pos_as_xyz
'x,y,z'
loop_
_atom_site_label
_atom_site_type_symbol
_atom_site_fract_x
_atom_site_fract_y
_atom_site_fract_z
Mg1 Mg 0.0000 0.5000 0.0000
W1 W 0.0000 0.0000 0.5000
W2 W 0.5000 0.0000 0.0000
Pt1 Pt 0.5000 0.5000 0.5000
In1 In 0.0000 0.0000 0.0000
```

=====

# 3
Compound: LaIrBr2
Source: Alexandria via LeMat-Bulk
Functional: PBE-GGA
Structure: optimized geometry

Calculated values
As for the space group: I-42d. The value obtained for the total energy is -4.720 eV per atom. The calculation puts the uncorrected formation energy at -0.436 eV/atom. Its distance to the lowest polymorph of the same formula is 0.424 eV per atom.

Cell and atoms, written as CIF:
```
data_LaIrBr2
_chemical_formula_sum 'La2 Ir2 Br4'
_symmetry_space_group_name_H-M 'P 1'
_symmetry_Int_Tables_number 1
_cell_length_a 4.6922
_cell_length_b 4.6922
_cell_length_c 9.9386
_cell_angle_alpha 76.35
_cell_angle_beta 76.35
_cell_angle_gamma 90.00
loop_
_symmetry_equiv_pos_as_xyz
'x,y,z'
loop_
_atom_site_label
_atom_site_type_symbol
_atom_site_fract_x
_atom_site_fract_y
_atom_site_fract_z
Ir1 Ir 0.0000 0.0000 0.0000
Ir2 Ir 0.7500 0.2500 0.5000
Br1 Br 0.6563 0.1250 0.2500
Br2 Br 0.0937 0.6250 0.2500
Br3 Br 0.3750 0.3437 0.7500
Br4 Br 0.8750 0.9063 0.7500
La1 La 0.5000 0.5000 0.0000
La2 La 0.2500 0.7500 0.5000
```

=====

# 4
Compound: BaPmPr
Source: Alexandria via LeMat-Bulk
Functional: PBE-GGA
Structure: optimized geometry

Calculated values
As for the space group: P3m1. The value obtained for the total energy is -3.679 eV per atom. Its distance to the lowest polymorph of the same formula is 0.014 eV per atom. The calculation puts the formation energy at 0.139 eV per atom.

Cell and atoms, written as CIF:
```
data_BaPmPr
_chemical_formula_sum 'Ba1 Pm1 Pr1'
_symmetry_space_group_name_H-M 'P 1'
_symmetry_Int_Tables_number 1
_cell_length_a 3.8532
_cell_length_b 3.8532
_cell_length_c 9.6171
_cell_angle_alpha 90.00
_cell_angle_beta 90.00
_cell_angle_gamma 120.00
loop_
_symmetry_equiv_pos_as_xyz
'x,y,z'
loop_
_atom_site_label
_atom_site_type_symbol
_atom_site_fract_x
_atom_site_fract_y
_atom_site_fract_z
Pr1 Pr 0.3333 0.6667 0.6461
Ba1 Ba 0.0000 0.0000 0.0016
Pm1 Pm 0.6667 0.3333 0.3522
```

=====

# 5
Compound: Sm7Cu2Ag2
Source: Alexandria via LeMat-Bulk
Functional: PBE-GGA
Structure: optimized geometry

Calculated values
As for the space group: Cmmm. The value obtained for the total energy is -4.217 eV per atom. The calculation puts the formation energy at 0.049 eV per atom.

Cell and atoms, written as CIF:
```
data_Sm7Cu2Ag2
_chemical_formula_sum 'Sm7 Cu2 Ag2'
_symmetry_space_group_name_H-M 'P 1'
_symmetry_Int_Tables_number 1
_cell_length_a 6.7969
_cell_length_b 7.3321
_cell_length_c 6.7969
_cell_angle_alpha 90.00
_cell_angle_beta 110.49
_cell_angle_gamma 90.00
loop_
_symmetry_equiv_pos_as_xyz
'x,y,z'
loop_
_atom_site_label
_atom_site_type_symbol
_atom_site_fract_x
_atom_site_fract_y
_atom_site_fract_z
Sm1 Sm 0.9998 0.2657 0.5003
Sm2 Sm 0.5003 0.7343 0.9998
Sm3 Sm 0.0002 0.7343 0.4997
Sm4 Sm 0.4997 0.2657 0.0002
Sm5 Sm 0.0000 0.0000 0.0000
Sm6 Sm 0.5002 0.7499 0.4998
Sm7 Sm 0.4998 0.2501 0.5002
Cu1 Cu 0.7044 0.0000 0.2956
Cu2 Cu 0.2956 0.0000 0.7044
Ag1 Ag 0.8239 0.5000 0.8239
Ag2 Ag 0.1761 0.5000 0.1761
```

=====

# 6
Compound: SrPm2Cd2Sn2
Source: Alexandria via LeMat-Bulk
Functional: PBE-GGA
Structure: optimized geometry

Calculated values
As for the space group: R-3m. The value obtained for the total energy is -3.354 eV per atom. The calculation puts the formation energy at -0.352 eV per atom.

Cell and atoms, written as CIF:
```
data_SrPm2Cd2Sn2
_chemical_formula_sum 'Sr1 Pm2 Cd2 Sn2'
_symmetry_space_group_name_H-M 'P 1'
_symmetry_Int_Tables_number 1
_cell_length_a 5.0520
_cell_length_b 5.0520
_cell_length_c 10.0109
_cell_angle_alpha 75.38
_cell_angle_beta 75.38
_cell_angle_gamma 60.00
loop_
_symmetry_equiv_pos_as_xyz
'x,y,z'
loop_
_atom_site_label
_atom_site_type_symbol
_atom_site_fract_x
_atom_site_fract_y
_atom_site_fract_z
Sr1 Sr 0.0000 0.0000 0.0000
Pm1 Pm 0.1331 0.1331 0.6007
Pm2 Pm 0.8669 0.8669 0.3993
Cd1 Cd 0.5768 0.5768 0.2695
Cd2 Cd 0.4232 0.4232 0.7305
Sn1 Sn 0.7410 0.7410 0.7769
Sn2 Sn 0.2590 0.2590 0.2231
```

=====

# 7
Compound: RbHg2Bi
Source: Alexandria via LeMat-Bulk
Functional: PBE-GGA
Structure: optimized geometry

Calculated values
As for the space group: P4/mmm. The value obtained for the total energy is -1.428 eV per atom. The calculation puts the formation energy at -0.065 eV per atom.

Cell and atoms, written as CIF:
```
data_RbHg2Bi
_chemical_formula_sum 'Rb2 Hg4 Bi2'
_symmetry_space_group_name_H-M 'P 1'
_symmetry_Int_Tables_number 1
_cell_length_a 7.3573
_cell_length_b 7.3573
_cell_length_c 7.3573
_cell_angle_alpha 114.88
_cell_angle_beta 106.84
_cell_angle_gamma 106.84
loop_
_symmetry_equiv_pos_as_xyz
'x,y,z'
loop_
_atom_site_label
_atom_site_type_symbol
_atom_site_fract_x
_atom_site_fract_y
_atom_site_fract_z
Rb1 Rb 0.0000 0.2500 0.2500
Rb2 Rb 0.0000 0.7500 0.7500
Hg1 Hg 0.0000 0.7500 0.2500
Hg2 Hg 0.0000 0.2500 0.7500
Hg3 Hg 0.5000 0.7500 0.7500
Hg4 Hg 0.5000 0.2500 0.2500
Bi1 Bi 0.5000 0.5000 0.0000
Bi2 Bi 0.5000 0.0000 0.5000
```

=====

# 8
Compound: Ba8Sb3Br4
Source: Alexandria via LeMat-Bulk
Functional: PBE-GGA
Structure: optimized geometry

Calculated values
As for the space group: R-3m. The value obtained for the total energy is -3.630 eV per atom. The calculation puts the uncorrected formation energy at -1.334 eV/atom.

Cell and atoms, written as CIF:
```
data_Ba8Sb3Br4
_chemical_formula_sum 'Ba8 Sb3 Br4'
_symmetry_space_group_name_H-M 'P 1'
_symmetry_Int_Tables_number 1
_cell_length_a 9.9151
_cell_length_b 9.9151
_cell_length_c 10.3558
_cell_angle_alpha 61.40
_cell_angle_beta 61.40
_cell_angle_gamma 60.00
loop_
_symmetry_equiv_pos_as_xyz
'x,y,z'
loop_
_atom_site_label
_atom_site_type_symbol
_atom_site_fract_x
_atom_site_fract_y
_atom_site_fract_z
Ba1 Ba 0.2379 0.2379 0.2864
Ba2 Ba 0.2320 0.7460 0.2761
Ba3 Ba 0.7460 0.7460 0.2761
Ba4 Ba 0.7460 0.2320 0.2761
Ba5 Ba 0.7621 0.7621 0.7136
Ba6 Ba 0.7680 0.2540 0.7239
Ba7 Ba 0.2540 0.2540 0.7239
Ba8 Ba 0.2540 0.7680 0.7239
Sb1 Sb 0.5000 0.0000 0.5000
Sb2 Sb 0.0000 0.0000 0.5000
Sb3 Sb 0.0000 0.5000 0.5000
Br1 Br 0.0000 0.0000 0.0000
Br2 Br 0.3614 0.3614 0.9159
Br3 Br 0.5000 0.5000 0.5000
Br4 Br 0.6386 0.6386 0.0841
```

=====

# 9
Compound: Ca2AlTe
Source: Alexandria via LeMat-Bulk
Functional: PBE-GGA
Structure: optimized geometry

Calculated values
As for the space group: R-3m. The value obtained for the total energy is -3.353 eV per atom. The calculation puts the uncorrected formation energy at -0.632 eV/atom. Its distance to the lowest polymorph of the same formula is 0.056 eV per atom.

Cell and atoms, written as CIF:
```
data_Ca2AlTe
_chemical_formula_sum 'Ca2 Al1 Te1'
_symmetry_space_group_name_H-M 'P 1'
_symmetry_Int_Tables_number 1
_cell_length_a 4.2152
_cell_length_b 4.2152
_cell_length_c 8.7404
_cell_angle_alpha 76.07
_cell_angle_beta 76.07
_cell_angle_gamma 59.96
loop_
_symmetry_equiv_pos_as_xyz
'x,y,z'
loop_
_atom_site_label
_atom_site_type_symbol
_atom_site_fract_x
_atom_site_fract_y
_atom_site_fract_z
Ca1 Ca 0.0060 0.0060 0.9825
Ca2 Ca 0.4940 0.4940 0.5175
Te1 Te 0.7500 0.7500 0.7500
Al1 Al 0.2500 0.2500 0.2500
```

=====

# 10
Compound: ThMgPa2Rh4
Source: Alexandria via LeMat-Bulk
Functional: PBE-GGA
Structure: optimized geometry

Calculated values
As for the space group: Fmm2. The value obtained for the total energy is -7.910 eV per atom. The calculation puts the formation energy at -0.734 eV per atom.

Cell and atoms, written as CIF:
```
data_ThMgPa2Rh4
_chemical_formula_sum 'Th1 Mg1 Pa2 Rh4'
_symmetry_space_group_name_H-M 'P 1'
_symmetry_Int_Tables_number 1
_cell_length_a 5.5400
_cell_length_b 5.5400
_cell_length_c 6.8172
_cell_angle_alpha 116.29
_cell_angle_beta 116.29
_cell_angle_gamma 84.84
loop_
_symmetry_equiv_pos_as_xyz
'x,y,z'
loop_
_atom_site_label
_atom_site_type_symbol
_atom_site_fract_x
_atom_site_fract_y
_atom_site_fract_z
Th1 Th 0.9301 0.9301 0.0000
Mg1 Mg 0.5288 0.5288 0.0000
Pa1 Pa 0.1504 0.6504 0.5000
Pa2 Pa 0.6504 0.1504 0.5000
Rh1 Rh 0.0405 0.4176 0.0000
Rh2 Rh 0.4176 0.0405 0.0000
Rh3 Rh 0.1691 0.1691 0.5585
Rh4 Rh 0.6106 0.6106 0.4415
```